## NaPmGaPt (GGA-PBE)

Data for a relaxed NaPmGaPt crystal.

a = 4.9743 Å, b = 4.9743 Å, c = 4.9743 Å
α = 60.00°, β = 60.00°, γ = 60.00°
Last column: nearest neighbours and their distance in Å.
Fractional positions:
Ga 0.2500 0.2500 0.2500  4 Na 3.05, 4 Pm 3.05
Pm 0.0000 0.0000 0.0000  4 Pt 3.05, 4 Ga 3.05
Pt 0.7500 0.7500 0.7500  4 Na 3.05, 4 Pm 3.05
Na 0.5000 0.5000 0.5000  4 Ga 3.05, 4 Pt 3.05

Values from the calculation:
VASP energy in eV per atom: -4.24
V in A^3/atom: 21.759